# Ga2SCl

A relaxed Ga2SCl crystal (PBE, Alexandria).

a b c (Å): 4.857 4.857 4.857
angles (deg): 60.00 60.00 60.00
Sites, in units of the cell vectors:
Ga1 0.250 0.250 0.250
Ga2 0.750 0.750 0.750
S1 0.000 0.000 0.000
Cl1 0.500 0.500 0.500

Summary:
Magnetization: 0.0 μB per formula unit
DOS at the Fermi energy: 2.7 states/eV/f.u.
Energy relative to the elements, uncorrected: -0.22 eV per atom
Final energy: -3.231 eV/atom
V: 81.0 Å³/f.u.
Mass density: 4.24 g/cm3

# YMoOs2

A relaxed YMoOs2 crystal (PBE, Alexandria).

a b c (Å): 5.942 5.942 5.942
angles (deg): 103.27 103.27 122.75
Sites, in units of the cell vectors:
Y1 0.000 0.000 0.000
Y2 0.750 0.250 0.500
Mo1 0.250 0.750 0.500
Mo2 0.500 0.500 0.000
Os1 0.172 0.125 0.547
Os2 0.375 0.828 0.953
Os3 0.578 0.625 0.453
Os4 0.875 0.422 0.047

Summary:
Magnetization: 0.0 μB per formula unit
DOS at the Fermi energy: 4.7 states/eV/f.u.
ΔH_f (0 K): 2.3 eV per formula unit
Final energy: -9.365 eV/atom
V: 77.4 Å³/f.u.
Mass density: 12.12 g/cm3

These records have relative energy among the computed polymorphs values of 102; 500 meV per atom, in the order they appear.